Version P
DFT (PBE-GGA) results for an optimized crystal structure of Li2TiCuO4.

Cell and atoms, written as CIF:
```
data_Li2TiCuO4
_symmetry_space_group_name_H-M 'I -4 m 2'
_symmetry_Int_Tables_number 119
_symmetry_space_group_name_Hall 'I -4 -2'
_cell_length_a 3.9866
_cell_length_b 3.9866
_cell_length_c 9.2867
_cell_angle_alpha 90.00
_cell_angle_beta 90.00
_cell_angle_gamma 90.00
loop_
_atom_site_label
_atom_site_fract_x
_atom_site_fract_y
_atom_site_fract_z
Li1 0.0000 0.0000 0.0000
Li2 0.0000 0.5000 0.2500
Ti1 0.0000 0.5000 0.7500
Cu1 0.0000 0.0000 0.5000
O1 0.0000 0.0000 0.2455
O2 0.0000 0.5000 0.5342
```

---

Version Q
DFT (PBE-GGA) results for an optimized crystal structure of Li2TiCuO4.

Cell and atoms, written as CIF:
```
data_Li2TiCuO4
_symmetry_space_group_name_H-M 'I -4'
_symmetry_Int_Tables_number 82
_symmetry_space_group_name_Hall 'I -4'
_cell_length_a 4.5149
_cell_length_b 4.5149
_cell_length_c 8.9879
_cell_angle_alpha 90.00
_cell_angle_beta 90.00
_cell_angle_gamma 90.00
loop_
_atom_site_label
_atom_site_fract_x
_atom_site_fract_y
_atom_site_fract_z
Li1 0.0000 0.0000 0.0000
Li2 0.0000 0.5000 0.2500
Ti1 0.0000 0.0000 0.5000
Cu1 0.0000 0.5000 0.7500
O1 0.2317 0.7614 0.6183
```

---

Version R
DFT (PBE-GGA) results for an optimized crystal structure of Li2TiCuO4.

Cell and atoms, written as CIF:
```
data_Li2TiCuO4
_symmetry_space_group_name_H-M 'I m m a'
_symmetry_Int_Tables_number 74
_symmetry_space_group_name_Hall '-I 2b 2'
_cell_length_a 5.7052
_cell_length_b 5.7798
_cell_length_c 9.3321
_cell_angle_alpha 90.00
_cell_angle_beta 90.00
_cell_angle_gamma 90.00
loop_
_atom_site_label
_atom_site_fract_x
_atom_site_fract_y
_atom_site_fract_z
Li1 0.0000 0.0000 0.0000
Li2 0.2500 0.2500 0.2500
Ti1 0.0000 0.0000 0.5000
Cu1 0.2500 0.2500 0.7500
O1 0.0000 0.0171 0.7160
O2 0.2359 0.2500 0.4837
```

---

Comparing the structures above, version R comes out on top by 0.006 eV/atom.